(1)
## Pr2Sm2Tm2In (GGA-PBE)

Data for an optimized crystal structure of Pr2Sm2Tm2In.

Values from the calculation:
The calculation puts the formation enthalpy at 0 K at -0.03 eV per atom.

Lattice parameters (Å, degrees): 3.6708 6.4019 11.5183 115.91 90.00 106.66
With the nearest neighbours (Å) after each atom.
Element x y z (fractional)
Pr  0.5176  0.0351  0.7471  2 In 3.31, 1 Sm 3.55, 3 Tm 3.58-3.62, 2 Pr 3.67
Pr  0.4824  0.9649  0.2529  2 In 3.31, 1 Sm 3.55, 3 Tm 3.58-3.62, 2 Pr 3.67
Sm  0.6849  0.3699  0.0926  2 Tm 3.54, 4 Pr 3.55-3.73, 4 Sm 3.67-3.68
Sm  0.3151  0.6301  0.9074  2 Tm 3.54, 4 Pr 3.55-3.73, 4 Sm 3.67-3.68
Tm  0.7364  0.4728  0.6175  2 In 3.17, 2 Tm 3.41, 2 Sm 3.54
Tm  0.2636  0.5272  0.3825  2 In 3.17, 2 Tm 3.41, 2 Sm 3.54
In  0.0000  0.0000  0.5000  4 Tm 3.17, 4 Pr 3.31

***

(2)
## Pr2Sm6Y3In (GGA-PBE)

Data for an optimized crystal structure of Pr2Sm6Y3In.

Values from the calculation:
The calculation puts the formation enthalpy at 0 K at -0.05 eV per atom.

Lattice parameters (Å, degrees): 6.2070 6.2070 11.9061 94.99 94.99 120.07
With the nearest neighbours (Å) after each atom.
Element x y z (fractional)
Pr  0.3336  0.6664  0.0000  3 Pr 3.58, 3 In 3.58-3.59, 6 Sm 3.60-3.61
Pr  0.6664  0.3336  0.0000  3 Pr 3.58, 3 In 3.58-3.59, 6 Sm 3.60-3.61
Sm  0.9167  0.5910  0.7497  6 Sm 3.50-3.63, 1 In 3.56, 3 Y 3.57-3.61, 2 Pr 3.60-3.61
Sm  0.7578  0.7578  0.2509  6 Sm 3.50-3.63, 3 Y 3.57-3.61, 1 In 3.57, 2 Pr 3.61
Sm  0.0833  0.4090  0.2503  6 Sm 3.50-3.63, 1 In 3.56, 3 Y 3.57-3.61, 2 Pr 3.60-3.61
Sm  0.5910  0.9167  0.7497  6 Sm 3.50-3.63, 1 In 3.56, 3 Y 3.57-3.61, 2 Pr 3.60-3.61
Sm  0.2422  0.2422  0.7491  6 Sm 3.50-3.63, 3 Y 3.57-3.61, 1 In 3.57, 2 Pr 3.61
Sm  0.4090  0.0833  0.2503  6 Sm 3.50-3.63, 1 In 3.56, 3 Y 3.57-3.61, 2 Pr 3.60-3.61
Y  0.1667  0.8333  0.5000  6 Sm 3.57-3.61, 6 Y 3.58-3.59
Y  0.8333  0.1667  0.5000  6 Sm 3.57-3.61, 6 Y 3.58-3.59
Y  0.5000  0.5000  0.5000  6 Sm 3.57-3.61, 6 Y 3.58
In  0.0000  0.0000  0.0000  6 Sm 3.56-3.57, 6 Pr 3.58-3.59

***

Q: Which of these has the highest formation enthalpy at 0 K?
A: Pr2Sm2Tm2In

***

Q: Among the records above, which one has the lowest formation enthalpy at 0 K?
A: Pr2Sm6Y3In

***

Q: The lowest formation enthalpy at 0 K belongs to which entry?
A: Pr2Sm6Y3In